RbCuPdCl6 | PBE-GGA | optimized geometry

Cell: 6.445 6.445 7.317 Å, 90.00 90.02 60.02°
Each line ends with the local moment (μB).
Sites, in units of the cell vectors:
Rb 0.000 0.000 0.000  0.00
Cu 0.667 0.667 0.500  0.33
Pd 0.333 0.333 0.500  -0.28
Cl 0.009 0.370 0.315  -0.01
Cl 0.370 0.010 0.685  -0.01
Cl 0.621 0.370 0.685  -0.01
Cl 0.009 0.621 0.685  -0.01
Cl 0.370 0.621 0.315  -0.01
Cl 0.621 0.009 0.315  -0.01

As for the space group: No. 149.

Rb2Cu2PdCl6 | PBE-GGA | optimized geometry

Cell: 6.883 7.843 6.360 Å, 102.03 90.00 116.03°
Sites, in units of the cell vectors:
Rb 0.711 0.423 0.206
Rb 0.289 0.577 0.794
Cu 0.968 0.936 0.774
Cu 0.032 0.064 0.226
Pd 0.500 0.000 0.500
Cl 0.808 0.617 0.739
Cl 0.197 0.872 0.241
Cl 0.325 0.128 0.759
Cl 0.803 0.128 0.759
Cl 0.675 0.872 0.241
Cl 0.192 0.383 0.261

As for the space group: No. 12.

Rb3CuPd2Cl9 | PBE-GGA | optimized geometry

Cell: 7.033 7.033 8.608 Å, 90.00 90.00 120.00°
Sites, in units of the cell vectors:
Rb 0.333 0.667 0.664
Rb 0.000 0.000 0.000
Rb 0.667 0.333 0.336
Cu 0.000 0.000 0.500
Pd 0.333 0.667 0.169
Pd 0.667 0.333 0.831
Cl 0.835 0.165 0.665
Cl 0.835 0.670 0.665
Cl 0.330 0.165 0.665
Cl 0.670 0.835 0.335
Cl 0.165 0.330 0.335
Cl 0.165 0.835 0.335
Cl 0.500 0.000 0.000
Cl 0.000 0.500 0.000
Cl 0.500 0.500 0.000

As for the space group: No. 164.

RbCu2PdCl8 | PBE-GGA | optimized geometry

Cell: 5.754 5.905 10.548 Å, 72.68 81.97 81.93°
Sites, in units of the cell vectors:
Rb 0.000 0.000 0.500
Cu 0.458 0.514 0.812
Cu 0.542 0.486 0.188
Pd 0.000 0.000 0.000
Cl 0.186 0.719 0.184
Cl 0.724 0.725 0.005
Cl 0.771 0.136 0.179
Cl 0.814 0.281 0.816
Cl 0.276 0.275 0.995
Cl 0.229 0.864 0.821
Cl 0.542 0.678 0.598
Cl 0.458 0.322 0.402

As for the space group: No. 2.

CuPdSCl2 | PBE-GGA | optimized geometry

Cell: 4.872 4.872 4.670 Å, 90.00 90.00 90.00°
Sites, in units of the cell vectors:
S 0.000 0.000 0.500
Cu 0.500 0.500 0.500
Pd 0.000 0.000 0.000
Cl 0.000 0.500 0.000
Cl 0.500 0.000 0.000

The value obtained for the energy above the most stable polymorph in this dataset is 0.0 meV/atom. As for the space group: No. 123.

CuPdSCl2 | PBE-GGA | optimized geometry

Cell: 4.519 4.519 4.867 Å, 90.00 90.00 90.00°
Sites, in units of the cell vectors:
S 0.000 0.000 0.500
Cu 0.000 0.000 0.000
Pd 0.500 0.500 0.500
Cl 0.000 0.500 0.000
Cl 0.500 0.000 0.000

The value obtained for the energy above the most stable polymorph in this dataset is 47.4 meV/atom. As for the space group: No. 123.

CuPdSeCl2 | PBE-GGA | optimized geometry

Cell: 5.222 4.703 5.222 Å, 90.00 90.00 90.00°
Sites, in units of the cell vectors:
Cu 0.500 0.500 0.500
Se 0.000 0.000 0.000
Pd 0.000 0.500 0.000
Cl 0.000 0.000 0.500
Cl 0.500 0.000 0.000

As for the space group: No. 123.

SrCuPdCl6 | PBE-GGA | optimized geometry

Cell: 7.862 6.507 6.192 Å, 82.93 78.24 52.89°
Each line ends with the local moment (μB).
Sites, in units of the cell vectors:
Sr 0.003 0.994 0.000  0.00
Cu 0.672 0.656 0.500  0.50
Pd 0.333 0.334 0.500  0.07
Cl 0.960 0.368 0.263  0.12
Cl 0.376 0.996 0.731  0.07
Cl 0.672 0.368 0.737  0.12
Cl 0.021 0.644 0.725  0.01
Cl 0.335 0.644 0.275  0.01
Cl 0.627 0.996 0.269  0.07

As for the space group: No. 5.

Sr2CuPdCl | PBE-GGA | optimized geometry

Cell: 5.795 4.615 5.795 Å, 90.00 90.00 90.00°
Sites, in units of the cell vectors:
Sr 0.000 0.000 0.500
Sr 0.500 0.000 0.000
Cu 0.000 0.000 0.000
Pd 0.000 0.500 0.000
Cl 0.500 0.500 0.500

As for the space group: No. 123.

Tl2Cu2PdCl6 | PBE-GGA | optimized geometry

Cell: 6.888 7.695 5.962 Å, 96.87 90.00 116.59°
Sites, in units of the cell vectors:
Tl 0.701 0.403 0.232
Tl 0.299 0.597 0.768
Cu 0.973 0.947 0.766
Cu 0.027 0.053 0.234
Pd 0.500 0.000 0.500
Cl 0.812 0.624 0.745
Cl 0.190 0.857 0.248
Cl 0.332 0.143 0.752
Cl 0.810 0.143 0.752
Cl 0.668 0.857 0.248
Cl 0.188 0.376 0.255

As for the space group: No. 12.

| no. | raw formation energy (kJ per mole of atoms) | uncorrected energy (eV per atom) |
| --- | --- | --- |
| 1 | -72.7 | -3.124 |
| 2 | -99.0 | -3.426 |
| 3 | -104.6 | -3.351 |
| 4 | -66.7 | -3.118 |
| 5 | 30.4 | -3.107 |
| 6 | 34.9 | -3.060 |
| 7 | 50.1 | -2.774 |
| 8 | -104.0 | -3.527 |
| 9 | -51.7 | -3.436 |
| 10 | -65.1 | -3.329 |